[1]
Material: Ac5Sm4Hg4
Method: DFT, PBE-GGA
State: relaxed

Lattice parameters (Å, degrees): 5.284 9.618 9.618 85.67 74.06 74.06
Positions (direct):
Sm1 0.406 0.690 0.498
Sm2 0.096 0.498 0.310
Sm3 0.594 0.310 0.502
Sm4 0.904 0.502 0.690
Ac1 0.000 0.000 0.000
Ac2 0.693 0.935 0.679
Ac3 0.372 0.321 0.935
Ac4 0.628 0.679 0.065
Ac5 0.307 0.065 0.321
Hg1 0.078 0.169 0.676
Hg2 0.922 0.831 0.324
Hg3 0.753 0.324 0.169
Hg4 0.247 0.676 0.831

Output
The calculation puts the formation enthalpy at 0 K at -0.286 eV/atom. The value obtained for the total energy is -3.41 eV per atom. As for the calculated volume: 34.763 Å³ per atom. As for the total moment: 0.0 Bohr magnetons per cell.



[2]
Material: BeSiPt2
Method: DFT, PBE-GGA
State: relaxed

Lattice parameters (Å, degrees): 4.129 4.129 3.104 90.00 90.00 95.91
Positions (direct):
Si1 0.500 0.000 0.500
Pt1 0.500 0.500 0.000
Pt2 0.000 0.000 0.000
Be1 0.000 0.500 0.500

Output
The value obtained for the total energy is -5.80 eV per atom. As for the calculated volume: 13.159 Å³ per atom. As for the total moment: 0.0 Bohr magnetons per cell. The value obtained for the formation energy without anion corrections is -489 meV/atom.



[3]
Material: Ac2SbF
Method: DFT, PBE-GGA
State: relaxed

Lattice parameters (Å, degrees): 4.420 4.420 7.622 73.14 73.14 60.00
Positions (direct):
Ac1 0.239 0.239 0.284
Ac2 0.761 0.761 0.716
Sb1 0.000 0.000 0.000
F1 0.500 0.500 0.500

Output
Its energy above the most stable polymorph in this dataset is 0.00 eV per formula unit. The value obtained for the total energy is -5.25 eV per atom. As for the calculated volume: 30.381 Å³ per atom. As for the total moment: 0.0 Bohr magnetons per cell. The value obtained for the formation energy without anion corrections is -1702 meV/atom.



[4]
Material: Tl2ZnPt
Method: DFT, PBE-GGA
State: relaxed

Lattice parameters (Å, degrees): 9.563 9.563 7.202 48.40 48.40 90.00
Positions (direct):
Pt1 0.000 0.000 0.000
Pt2 0.750 0.250 0.500
Zn1 0.500 0.500 0.000
Zn2 0.250 0.750 0.500
Tl1 0.875 0.995 0.750
Tl2 0.005 0.625 0.250
Tl3 0.375 0.255 0.750
Tl4 0.745 0.125 0.250

Output
Its energy above the most stable polymorph in this dataset is 0.28 eV per formula unit. The calculation puts the formation enthalpy at 0 K at -0.007 eV/atom. The value obtained for the total energy is -3.02 eV per atom. As for the calculated volume: 28.346 Å³ per atom. As for the total moment: 0.0 Bohr magnetons per cell.



[5]
Material: Dy4SnIr
Method: DFT, PBE-GGA
State: relaxed

Lattice parameters (Å, degrees): 6.950 7.025 7.467 90.00 91.88 90.00
Positions (direct):
Dy1 0.675 0.664 0.640
Dy2 0.868 0.647 0.188
Dy3 0.368 0.853 0.188
Dy4 0.132 0.353 0.812
Dy5 0.632 0.147 0.812
Dy6 0.175 0.836 0.640
Dy7 0.325 0.336 0.360
Dy8 0.825 0.164 0.360
Sn1 0.500 0.500 0.000
Sn2 0.000 0.000 0.000
Ir1 0.000 0.500 0.500
Ir2 0.500 0.000 0.500

Output
The calculation puts the formation enthalpy at 0 K at -0.484 eV/atom. The value obtained for the total energy is -5.70 eV per atom. As for the calculated volume: 30.366 Å³ per atom. As for the total moment: 0.0 Bohr magnetons per cell.



[6]
Material: CuTc2Ir
Method: DFT, PBE-GGA
State: relaxed

Lattice parameters (Å, degrees): 3.928 2.718 5.894 62.53 90.00 90.00
Positions (direct):
Cu1 0.500 0.250 0.250
Ir1 0.500 0.750 0.750
Tc1 0.000 0.981 0.019
Tc2 0.000 0.519 0.481

Output
Its energy above the most stable polymorph in this dataset is 0.00 eV per formula unit. The calculation puts the formation enthalpy at 0 K at 0.042 eV/atom. The value obtained for the total energy is -8.38 eV per atom. As for the calculated volume: 13.957 Å³ per atom. As for the total moment: 0.0 Bohr magnetons per cell.